Entry 1:
A relaxed TaIn2Te crystal, computed with PBE.

POSCAR file:
```
TaIn2Te
1.0
1.588 0.917 10.766
-1.588 0.917 10.766
0.000 -1.833 10.766
Ta In Te
1 2 1
direct
0.000 0.000 0.000
0.259 0.259 0.259
0.741 0.741 0.741
0.500 0.500 0.500
```

Results
Formation energy without anion corrections = 0.335 eV/atom
Spin magnetization = 0.00 μB/cell
Density of states at the Fermi level = 1.089 states/eV/atom

=====

Entry 2:
A relaxed NpGa2Pd crystal, computed with PBE.

POSCAR file:
```
NpGa2Pd
1.0
1.452 0.838 9.414
-1.452 0.838 9.414
0.000 -1.677 9.414
Np Ga Pd
1 2 1
direct
0.000 0.000 0.000
0.240 0.240 0.240
0.760 0.760 0.760
0.500 0.500 0.500
```

Results
Formation enthalpy at 0 K = -251.2 meV per atom
Spin magnetization = 2.70 μB/cell
Density of states at the Fermi level = 1.020 states/eV/atom